Li2FeNi3O8: relaxed, PBE+U.

```
Li2FeNi3O8
1.0
1.8201 -1.3466 5.4006
4.8642 2.3458 2.2648
-0.4401 4.0004 4.2833
Li Fe Ni O
2 1 3 8
Direct
0.5000 0.0000 0.5000
0.0000 0.5000 0.5000
0.0000 0.0000 0.0000
0.5000 0.0000 0.0000
0.0000 0.5000 0.0000
0.5000 0.5000 0.0000
0.2778 0.2778 0.2023
0.7470 0.2510 0.2132
0.2510 0.7470 0.2132
0.7750 0.7750 0.2114
0.2250 0.2250 0.7886
0.7490 0.2530 0.7868
0.2530 0.7490 0.7868
0.7222 0.7222 0.7977
```

Total DFT energy (no corrections) (eV for the cell shown): -71.3
Calculated volume (Å³/cell): 141.9
DOS at the Fermi energy (states/eV/cell): 3.53
Magnetization (μB/f.u.): 6.00